{
  "formula": "NaAlOsI2",
  "functional": "PBEsol",
  "state": "optimized geometry",
  "lattice_angstrom": [[5.629, 0.000, 0.000], [0.000, 5.629, 0.000], [0.000, 0.000, 5.407]],
  "species": ["Na", "Al", "Os", "I", "I"],
  "frac_coords": [[0.000, 0.000, 0.000], [0.500, 0.500, 0.500], [0.000, 0.000, 0.500], [0.000, 0.500, 0.000], [0.500, 0.000, 0.000]],
  "raw_formation_energy_ev_per_fu": 7.4,
  "spacegroup": "No. 123"
}